# Pm2Pr2NdY2 GGA-PBE relaxed
# ΔE_f ... 0.3 kcal/mol of atoms
data_Pm2Pr2NdY2
_chemical_formula_sum 'Pm4 Pr4 Nd2 Y4'
_cell_length_a 11.523
_cell_length_b 5.165
_cell_length_c 8.183
_cell_angle_alpha 90.00
_cell_angle_beta 98.05
_cell_angle_gamma 90.00
_symmetry_space_group_name_H-M 'C 1 2/m 1'
_symmetry_Int_Tables_number 12
loop_
_symmetry_equiv_pos_as_xyz
'x,y,z'
'-x,-y,-z'
'-x,y,-z'
'x,-y,z'
'x+1/2,y+1/2,z'
'-x+1/2,-y+1/2,-z'
'-x+1/2,y+1/2,-z'
'x+1/2,-y+1/2,z'
loop_
_atom_site_label
_atom_site_fract_x
_atom_site_fract_y
_atom_site_fract_z
Pm1 0.143 0.000 0.429
Pr1 0.072 0.500 0.716
Nd1 0.000 0.000 0.000
Y1 0.214 0.500 0.142

# LaSmCu4 GGA-PBE relaxed
# ΔE_f ... -1.9 kcal/mol of atoms
data_LaSmCu4
_chemical_formula_sum 'La4 Sm4 Cu16'
_cell_length_a 7.603
_cell_length_b 7.603
_cell_length_c 7.603
_cell_angle_alpha 90.00
_cell_angle_beta 90.00
_cell_angle_gamma 90.00
_symmetry_space_group_name_H-M 'F -4 3 m'
_symmetry_Int_Tables_number 216
_symmetry_space_group_name_Hall 'F -4 2 3'
loop_
_atom_site_label
_atom_site_fract_x
_atom_site_fract_y
_atom_site_fract_z
La1 0.000 0.000 0.000
Sm1 0.250 0.250 0.250
Cu1 0.124 0.124 0.624

# PrPuI2 GGA-PBE relaxed
# Energy ... -6.15 eV per atom
data_PrPuI2
_chemical_formula_sum 'Pr3 Pu3 I6'
_cell_length_a 3.9163
_cell_length_b 3.9163
_cell_length_c 33.3013
_cell_angle_alpha 90.00
_cell_angle_beta 90.00
_cell_angle_gamma 120.00
_symmetry_space_group_name_H-M 'R -3 m'
_symmetry_Int_Tables_number 166
_symmetry_space_group_name_Hall '-R 3 2"'
loop_
_atom_site_label
_atom_site_fract_x
_atom_site_fract_y
_atom_site_fract_z
Pr1 0.0000 0.0000 0.0000
Pu1 0.0000 0.0000 0.5000
I1 0.0000 0.0000 0.4031

# Be2CrCl GGA-PBE relaxed
# Energy ... -4.39 eV per atom
data_Be2CrCl
_chemical_formula_sum 'Be2 Cr1 Cl1'
_cell_length_a 2.751
_cell_length_b 2.751
_cell_length_c 7.651
_cell_angle_alpha 90.00
_cell_angle_beta 90.00
_cell_angle_gamma 90.00
_symmetry_space_group_name_H-M 'P 4 m m'
_symmetry_Int_Tables_number 99
loop_
_symmetry_equiv_pos_as_xyz
'x,y,z'
'-y,x,z'
'-x,-y,z'
'y,-x,z'
'-x,y,z'
'y,x,z'
'x,-y,z'
'-y,-x,z'
loop_
_atom_site_label
_atom_site_fract_x
_atom_site_fract_y
_atom_site_fract_z
Be1 0.000 0.000 0.000
Be2 0.500 0.500 0.127
Cr1 0.500 0.500 0.797
Cl1 0.000 0.000 0.611